1.
DFT (GGA-PBE) results for crystalline TeIr3 at its relaxed geometry.

Calculated values
VASP energy = -55.8 eV/cell
Formation energy without anion corrections = 0.459 eV/atom
Mass density = 17605 kg/m³

Unit cell a=9.0929 b=2.9836 c=4.9887 alpha=90.00 beta=101.01 gamma=90.00
Space group C2/m (No. 12)
Inequivalent atoms, fractional coordinates:
Te 0.0000 0.0000 0.0000 [2 per cell]
Ir 0.0000 0.5000 0.5000 [2 per cell]
Ir 0.2471 0.0000 0.7287 [4 per cell]

2.
DFT (GGA-PBE) results for crystalline Te2Ir at its relaxed geometry.

Calculated values
VASP energy = -79.7 eV/cell
Formation energy without anion corrections = -0.266 eV/atom
Mass density = 9807 kg/m³

Unit cell a=4.0123 b=6.7944 c=14.7175 alpha=97.53 beta=92.67 gamma=107.04
Space group P-1 (No. 2)
Inequivalent atoms, fractional coordinates:
Te 0.0169 0.1623 0.1130 [2 per cell]
Te 0.1300 0.2661 0.4803 [2 per cell]
Te 0.2798 0.6960 0.0873 [2 per cell]
Te 0.3012 0.5263 0.7252 [2 per cell]
Te 0.4470 0.9480 0.3169 [2 per cell]
Ir 0.0725 0.2117 0.2958 [2 per cell]
Ir 0.3612 0.5698 0.9123 [2 per cell]
Ir 0.5000 0.0000 0.5000 [1 per cell]

3.
DFT (GGA-PBE) results for crystalline Te2Ir at its relaxed geometry.

Calculated values
VASP energy = -57.3 eV/cell
Formation energy without anion corrections = 0.276 eV/atom
Mass density = 9868 kg/m³

Unit cell a=3.1245 b=3.4850 c=27.6575 alpha=90.00 beta=90.00 gamma=90.00
Space group Imma (No. 74)
Inequivalent atoms, fractional coordinates:
Te 0.0000 0.2500 0.0593 [4 per cell]
Te 0.0000 0.2500 0.1811 [4 per cell]
Ir 0.0000 0.2500 0.6244 [4 per cell]

4.
DFT (GGA-PBE) results for crystalline TeIr3 at its relaxed geometry.

Calculated values
VASP energy = -20.3 eV/cell
Formation energy without anion corrections = 2.364 eV/atom
Mass density = 9919 kg/m³

Unit cell a=4.9035 b=4.9035 c=4.9035 alpha=90.00 beta=90.00 gamma=90.00
Space group Pm-3m (No. 221)
Inequivalent atoms, fractional coordinates:
Te 0.0000 0.0000 0.0000 [1 per cell]
Ir 0.0000 0.0000 0.5000 [3 per cell]

5.
DFT (GGA-PBE) results for crystalline TeIr4 at its relaxed geometry.

Calculated values
VASP energy = -27.5 eV/cell
Formation energy without anion corrections = 2.223 eV/atom
Excess energy over the best structure of this formula in the dataset = 1759 meV/atom
Mass density = 13578 kg/m³

Unit cell a=4.7861 b=4.7861 c=4.7861 alpha=90.00 beta=90.00 gamma=90.00
Space group Pm-3m (No. 221)
Inequivalent atoms, fractional coordinates:
Te 0.0000 0.0000 0.0000 [1 per cell]
Ir 0.0000 0.0000 0.5000 [3 per cell]
Ir 0.5000 0.5000 0.5000 [1 per cell]

6.
DFT (GGA-PBE) results for crystalline Te2Ir at its relaxed geometry.

Calculated values
VASP energy = -30.1 eV/cell
Formation energy without anion corrections = 0.036 eV/atom
Mass density = 9493 kg/m³

Unit cell a=13.9594 b=3.6832 c=3.1069 alpha=90.00 beta=101.51 gamma=90.00
Space group Cm (No. 8)
Inequivalent atoms, fractional coordinates:
Te 0.0000 0.0000 0.0000 [2 per cell]
Te 0.2428 0.0000 0.7168 [2 per cell]
Ir 0.1012 0.5000 0.5909 [2 per cell]

7.
DFT (GGA-PBE) results for crystalline Te2Ir at its relaxed geometry.

Calculated values
VASP energy = -42.9 eV/cell
Formation energy without anion corrections = 0.283 eV/atom
Mass density = 11045 kg/m³

Unit cell a=7.3786 b=7.3786 c=4.2798 alpha=90.00 beta=90.00 gamma=120.00
Space group P-62m (No. 189)
Inequivalent atoms, fractional coordinates:
Te 0.0000 0.2681 0.0000 [3 per cell]
Te 0.0000 0.5964 0.5000 [3 per cell]
Ir 0.0000 0.0000 0.5000 [1 per cell]
Ir 0.3333 0.6667 0.0000 [2 per cell]

8.
DFT (GGA-PBE) results for crystalline Te2Ir at its relaxed geometry.

Calculated values
VASP energy = -128.1 eV/cell
Formation energy without anion corrections = -0.289 eV/atom
Mass density = 9847 kg/m³

Unit cell a=22.8818 b=4.0776 c=6.4696 alpha=90.00 beta=90.00 gamma=90.00
Space group Pnma (No. 62)
Inequivalent atoms, fractional coordinates:
Te 0.0081 0.2500 0.2211 [4 per cell]
Te 0.1218 0.7500 0.4531 [4 per cell]
Te 0.1366 0.2500 0.9296 [4 per cell]
Te 0.2411 0.2500 0.1963 [4 per cell]
Ir 0.0756 0.7500 0.0719 [4 per cell]
Ir 0.1940 0.2500 0.5669 [4 per cell]

9.
DFT (GGA-PBE) results for crystalline Te2Ir at its relaxed geometry.

Calculated values
VASP energy = -63.9 eV/cell
Formation energy without anion corrections = -0.278 eV/atom
Mass density = 9931 kg/m³

Unit cell a=13.5446 b=4.0585 c=5.4435 alpha=90.00 beta=90.00 gamma=90.00
Space group Pnma (No. 62)
Inequivalent atoms, fractional coordinates:
Te 0.0503 0.2500 0.2338 [4 per cell]
Te 0.1923 0.2500 0.7046 [4 per cell]
Ir 0.1342 0.7500 0.9837 [4 per cell]

10.
DFT (GGA-PBE) results for crystalline TeIr3 at its relaxed geometry.

Calculated values
VASP energy = -27.9 eV/cell
Formation energy without anion corrections = 0.452 eV/atom
Mass density = 17559 kg/m³

Unit cell a=2.9300 b=3.8509 c=5.9026 alpha=90.00 beta=90.00 gamma=90.00
Space group Pmmm (No. 47)
Inequivalent atoms, fractional coordinates:
Te 0.0000 0.0000 0.0000 [1 per cell]
Ir 0.0000 0.0000 0.5000 [1 per cell]
Ir 0.5000 0.5000 0.2750 [2 per cell]

11.
DFT (GGA-PBE) results for crystalline Te2Ir3 at its relaxed geometry.

Calculated values
VASP energy = -128.3 eV/cell
Formation energy without anion corrections = 0.160 eV/atom
Mass density = 14673 kg/m³

Unit cell a=12.3156 b=6.2926 c=5.4018 alpha=90.00 beta=115.90 gamma=90.00
Space group C2/c (No. 15)
Inequivalent atoms, fractional coordinates:
Te 0.1582 0.2315 0.1592 [8 per cell]
Ir 0.0000 0.0019 0.7500 [4 per cell]
Ir 0.1064 0.3744 0.6055 [8 per cell]

12.
DFT (GGA-PBE) results for crystalline TeIr3 at its relaxed geometry.

Calculated values
VASP energy = -55.6 eV/cell
Formation energy without anion corrections = 0.481 eV/atom
Mass density = 17701 kg/m³

Unit cell a=4.5814 b=5.7990 c=4.9734 alpha=90.00 beta=90.00 gamma=90.00
Space group Pmmn (No. 59, origin choice 2)
Inequivalent atoms, fractional coordinates:
Te 0.2500 0.2500 0.1722 [2 per cell]
Ir 0.2500 0.0081 0.6792 [4 per cell]
Ir 0.2500 0.7500 0.2178 [2 per cell]

13.
DFT (GGA-PBE) results for crystalline Te2Ir at its relaxed geometry.

Calculated values
VASP energy = -63.8 eV/cell
Formation energy without anion corrections = -0.266 eV/atom
Mass density = 9611 kg/m³

Unit cell a=11.4440 b=4.0960 c=6.5963 alpha=90.00 beta=90.00 gamma=90.00
Space group Pnma (No. 62)
Inequivalent atoms, fractional coordinates:
Te 0.0028 0.2500 0.2153 [4 per cell]
Te 0.2296 0.2500 0.5139 [4 per cell]
Ir 0.1395 0.2500 0.8900 [4 per cell]

14.
DFT (GGA-PBE) results for crystalline Te2Ir at its relaxed geometry.

Calculated values
VASP energy = -29.3 eV/cell
Formation energy without anion corrections = 0.172 eV/atom
Mass density = 8390 kg/m³

Unit cell a=5.4021 b=6.2662 c=5.2320 alpha=90.00 beta=90.00 gamma=90.00
Space group C222 (No. 21)
Inequivalent atoms, fractional coordinates:
Te 0.2500 0.2500 0.2190 [4 per cell]
Ir 0.0000 0.5000 0.5000 [2 per cell]

15.
DFT (GGA-PBE) results for crystalline TeIr5 at its relaxed geometry.

Calculated values
VASP energy = -45.2 eV/cell
Formation energy without anion corrections = 0.376 eV/atom
Excess energy over the best structure of this formula in the dataset = 67 meV/atom
Mass density = 18769 kg/m³

Unit cell a=2.8256 b=2.8256 c=12.0638 alpha=90.00 beta=90.00 gamma=90.00
Space group P4/mmm (No. 123)
Inequivalent atoms, fractional coordinates:
Te 0.0000 0.0000 0.0000 [1 per cell]
Ir 0.0000 0.0000 0.3426 [2 per cell]
Ir 0.5000 0.5000 0.1899 [2 per cell]
Ir 0.5000 0.5000 0.5000 [1 per cell]

16.
DFT (GGA-PBE) results for crystalline Te2Ir at its relaxed geometry.

Calculated values
VASP energy = -63.2 eV/cell
Formation energy without anion corrections = -0.216 eV/atom
Mass density = 10616 kg/m³

Unit cell a=6.5416 b=6.5416 c=6.5416 alpha=90.00 beta=90.00 gamma=90.00
Space group Pa-3 (No. 205)
Inequivalent atoms, fractional coordinates:
Te 0.1330 0.1330 0.1330 [8 per cell]
Ir 0.0000 0.0000 0.5000 [4 per cell]

17.
DFT (GGA-PBE) results for crystalline Te5Ir3 at its relaxed geometry.

Calculated values
VASP energy = -85.5 eV/cell
Formation energy without anion corrections = -0.055 eV/atom
Excess energy over the best structure of this formula in the dataset = 0 meV/atom
Mass density = 9882 kg/m³

Unit cell a=7.4492 b=7.5366 c=7.9700 alpha=94.93 beta=95.62 gamma=112.33
Space group P1 (No. 1)
Inequivalent atoms, fractional coordinates:
Te 0.0000 0.0000 0.0000 [1 per cell]
Te 0.0181 0.5539 0.1487 [1 per cell]
Te 0.0563 0.3195 0.7360 [1 per cell]
Te 0.2461 0.0657 0.3804 [1 per cell]
Te 0.3646 0.6298 0.4937 [1 per cell]
Te 0.4396 0.8914 0.8870 [1 per cell]
Te 0.5038 0.5290 0.1297 [1 per cell]
Te 0.5521 0.3073 0.7383 [1 per cell]
Te 0.7000 0.1459 0.2697 [1 per cell]
Te 0.8941 0.7093 0.6298 [1 per cell]
Ir 0.1964 0.0435 0.7220 [1 per cell]
Ir 0.3811 0.8094 0.2162 [1 per cell]
Ir 0.5691 0.3996 0.4238 [1 per cell]
Ir 0.7828 0.6287 0.9358 [1 per cell]
Ir 0.7906 0.2142 0.9536 [1 per cell]
Ir 0.9774 0.4504 0.4562 [1 per cell]

18.
DFT (GGA-PBE) results for crystalline Te2Ir3 at its relaxed geometry.

Calculated values
VASP energy = -31.2 eV/cell
Formation energy without anion corrections = 0.335 eV/atom
Mass density = 13979 kg/m³

Unit cell a=4.4157 b=4.4157 c=5.8518 alpha=90.00 beta=90.00 gamma=120.00
Space group P-3m1 (No. 164)
Inequivalent atoms, fractional coordinates:
Te 0.3333 0.6667 0.2010 [2 per cell]
Ir 0.0000 0.0000 0.5000 [1 per cell]
Ir 0.3333 0.6667 0.7124 [2 per cell]

19.
DFT (GGA-PBE) results for crystalline TeIr3 at its relaxed geometry.

Calculated values
VASP energy = -113.1 eV/cell
Formation energy without anion corrections = 0.362 eV/atom
Mass density = 17338 kg/m³

Unit cell a=6.8860 b=8.6137 c=4.5487 alpha=90.00 beta=90.00 gamma=90.00
Space group Cmcm (No. 63)
Inequivalent atoms, fractional coordinates:
Te 0.0000 0.1428 0.2500 [4 per cell]
Ir 0.0000 0.2990 0.7500 [4 per cell]
Ir 0.1984 0.4211 0.2500 [8 per cell]

20.
DFT (GGA-PBE) results for crystalline Te2Ir at its relaxed geometry.

Calculated values
VASP energy = -57.2 eV/cell
Formation energy without anion corrections = 0.285 eV/atom
Mass density = 10823 kg/m³

Unit cell a=6.7072 b=6.7072 c=6.1037 alpha=90.00 beta=90.00 gamma=90.00
Space group I4/mcm (No. 140)
Inequivalent atoms, fractional coordinates:
Te 0.1805 0.3195 0.0000 [8 per cell]
Ir 0.0000 0.0000 0.2500 [4 per cell]